(1)
PBE-GGA Pr3As2H, optimized geometry; D(E_F) = 5.73 states/eV per cell; space-group type = No. 15; total energy = -5.545 eV/atom
1.0
5.968 0.000 0.000
0.000 8.465 0.005
-2.984 -2.116 6.201
As Pr H
4 6 2
direct
0.670 0.585 0.338
0.332 0.915 0.662
0.330 0.415 0.662
0.668 0.085 0.338
0.168 0.584 0.335
0.525 0.750 0.000
0.167 0.084 0.335
0.832 0.416 0.665
0.475 0.250 0.000
0.833 0.916 0.665
0.046 0.250 0.000
0.954 0.750 0.000

=====

(2)
PBE-GGA Pr2AsH, optimized geometry; D(E_F) = 2.07 states/eV per cell; polymorph energy (0 for the lowest one) = 355.9 meV per atom; space-group type = No. 8
1.0
-3.145 -2.493 1.304
0.605 -4.162 0.333
1.324 -1.347 7.419
Pr H As
2 1 1
direct
0.600 0.045 0.097
0.133 0.577 0.501
0.243 0.688 0.167
0.729 0.174 0.713

=====

(3)
PBE-GGA Pr2AsH, optimized geometry; D(E_F) = 1.25 states/eV per cell; polymorph energy (0 for the lowest one) = 115.1 meV per atom; space-group type = No. 160
1.0
-0.125 3.980 -0.328
-3.475 1.838 -0.720
-2.333 2.466 6.462
Pr As H
2 1 1
direct
0.251 0.251 0.247
0.087 0.087 0.738
0.668 0.668 0.995
0.493 0.493 0.520

=====

(4)
PBE-GGA Pr4As2H, optimized geometry; D(E_F) = 7.66 states/eV per cell; space-group type = No. 139; total energy = -5.409 eV/atom
1.0
-4.191 1.202 1.170
-1.557 -3.958 -1.511
-1.701 -4.774 7.516
H Pr As
1 4 2
direct
0.000 0.000 0.000
0.000 0.500 0.000
0.500 0.000 0.000
0.180 0.180 0.640
0.820 0.820 0.360
0.637 0.637 0.725
0.363 0.363 0.275

=====

(5)
PBE-GGA PrAsHPt, optimized geometry; D(E_F) = 2.94 states/eV per cell; space-group type = No. 186; total energy = -5.536 eV/atom
1.0
-1.783 1.977 3.241
3.110 -2.735 0.665
6.501 7.195 -0.811
As Pr H Pt
2 2 2 2
direct
0.667 0.333 0.422
0.333 0.667 0.922
0.667 0.333 0.737
0.333 0.667 0.237
0.000 0.000 0.665
0.000 0.000 0.165
0.000 0.000 0.489
0.000 0.000 0.989

=====

(6)
PBE-GGA PrAsHRh2, optimized geometry; D(E_F) = 3.73 states/eV per cell; space-group type = No. 63; total energy = -6.269 eV/atom
1.0
-1.703 0.683 -3.542
0.922 -5.656 0.713
-6.569 -0.689 3.025
H Rh As Pr
2 4 2 2
direct
0.000 0.000 0.000
0.000 0.000 0.500
0.840 0.679 0.053
0.840 0.679 0.447
0.160 0.321 0.947
0.160 0.321 0.553
0.722 0.444 0.750
0.278 0.556 0.250
0.442 0.883 0.750
0.558 0.117 0.250

=====

(7)
PBE-GGA PrAsH2Rh, optimized geometry; D(E_F) = 4.08 states/eV per cell; space-group type = No. 63; total energy = -5.387 eV/atom
1.0
3.937 0.000 0.000
-1.968 5.262 0.000
0.000 0.000 6.650
H Rh As Pr
4 2 2 2
direct
0.839 0.679 0.055
0.839 0.679 0.445
0.161 0.321 0.555
0.161 0.321 0.945
0.000 0.000 0.500
0.000 0.000 0.000
0.439 0.877 0.750
0.561 0.123 0.250
0.283 0.567 0.250
0.717 0.433 0.750

=====

(8)
PBE-GGA PrAsH2Ru, optimized geometry; D(E_F) = 2.71 states/eV per cell; space-group type = No. 63; total energy = -5.688 eV/atom
1.0
-3.473 1.472 1.506
-0.796 -5.155 -2.274
1.251 -2.576 5.401
Ru Pr H As
2 2 4 2
direct
0.000 0.000 0.000
0.000 0.000 0.500
0.290 0.580 0.250
0.710 0.420 0.750
0.841 0.682 0.062
0.159 0.318 0.938
0.159 0.318 0.562
0.841 0.682 0.438
0.571 0.141 0.250
0.429 0.859 0.750

=====

(9)
PBE-GGA Pr4AsHS2, optimized geometry; D(E_F) = 6.75 states/eV per cell; space-group type = No. 63; total energy = -5.910 eV/atom
1.0
-0.833 -0.468 3.976
4.229 -5.355 -1.847
11.088 7.646 3.221
Pr As S H
8 2 4 2
direct
0.725 0.451 0.879
0.275 0.549 0.379
0.725 0.451 0.621
0.000 0.000 0.000
0.275 0.549 0.121
0.444 0.889 0.750
0.556 0.111 0.250
0.000 0.000 0.500
0.106 0.212 0.750
0.894 0.788 0.250
0.635 0.271 0.437
0.365 0.729 0.563
0.365 0.729 0.937
0.635 0.271 0.063
0.159 0.319 0.250
0.841 0.681 0.750

=====

(10)
PBE-GGA Pr8As3HSe4, optimized geometry; D(E_F) = 6.32 states/eV per cell; space-group type = No. 166; total energy = -5.874 eV/atom
1.0
-4.507 -6.831 -2.273
-0.220 -2.554 8.114
-2.729 7.770 -2.073
H Se Pr As
1 4 8 3
direct
0.000 0.500 0.000
0.000 0.000 0.000
0.000 0.000 0.500
0.500 0.000 0.000
0.500 0.000 0.500
0.253 0.260 0.506
0.749 0.254 0.005
0.257 0.254 0.005
0.743 0.746 0.995
0.747 0.740 0.494
0.749 0.254 0.498
0.251 0.746 0.502
0.251 0.746 0.995
0.500 0.500 0.000
0.500 0.500 0.500
0.000 0.500 0.500

=====

(11)
PBE-GGA Pr8Te4As3H, optimized geometry; D(E_F) = 8.52 states/eV per cell; space-group type = No. 166; total energy = -5.583 eV/atom
1.0
8.667 0.000 0.000
0.000 8.874 0.139
-4.334 -4.329 6.133
Pr As Te H
8 3 4 1
direct
0.757 0.277 0.020
0.243 0.724 0.486
0.757 0.276 0.514
0.263 0.277 0.020
0.737 0.723 0.980
0.260 0.281 0.521
0.740 0.719 0.479
0.243 0.723 0.980
0.000 0.500 0.500
0.500 0.500 0.500
0.500 0.500 0.000
0.500 0.000 0.000
0.000 0.000 0.000
0.500 0.000 0.500
0.000 0.000 0.500
0.000 0.500 0.000

=====

(12)
PBE-GGA AsHPt2, optimized geometry; D(E_F) = 1.60 states/eV per cell; polymorph energy (0 for the lowest one) = 128.4 meV per atom; space-group type = No. 166
1.0
-0.116 2.578 3.259
-3.607 0.759 1.922
-0.429 -2.666 4.744
Pt As H
2 1 1
direct
0.884 0.884 0.349
0.116 0.116 0.651
0.500 0.500 0.500
0.000 0.000 0.000

=====

Q: Among the records above, which one has the lowest D(E_F)?
A: number 3